Entry from Alexandria via LeMat-Bulk: a relaxed structure of Ba2Sn2Pd (PBE).

Cell lengths 6.7024, 6.7024, 12.1148 Å; angles 112.12, 112.12, 42.07 degrees
Sites, in units of the cell vectors:
Ba 0.0143 0.0143 0.1651
Ba 0.1877 0.1877 0.6122
Ba 0.8123 0.8123 0.3878
Ba 0.9857 0.9857 0.8349
Sn 0.2987 0.2987 0.9379
Sn 0.4848 0.4848 0.6161
Sn 0.5152 0.5152 0.3839
Sn 0.7013 0.7013 0.0621
Pd 0.3105 0.3105 0.1695
Pd 0.6895 0.6895 0.8305

Output
* calculated formation energy: -0.665 eV/atom
* excess energy over the best structure of this formula in the dataset: 0.0 meV/atom
* space group: No. 12

=====

Entry from Alexandria via LeMat-Bulk: a relaxed structure of AcCdNiBi (PBE).

Cell lengths 5.2714, 5.2714, 5.2714 Å; angles 60.00, 60.00, 60.00 degrees
Sites, in units of the cell vectors:
Ac 0.0000 0.0000 0.0000
Cd 0.2500 0.2500 0.2500
Ni 0.7500 0.7500 0.7500
Bi 0.5000 0.5000 0.5000

Output
* calculated formation energy: -0.123 eV/atom
* space group: No. 216

=====

Entry from Alexandria via LeMat-Bulk: a relaxed structure of Er2PuCdO8 (PBE).

Cell lengths 4.9926, 7.0967, 4.9980 Å; angles 90.00, 92.23, 90.00 degrees
Sites, in units of the cell vectors:
Er 0.0000 0.2392 0.0000
Er 0.0000 0.7608 0.0000
Pu 0.5000 0.5000 0.5000
Cd 0.5000 0.0000 0.5000
O 0.1940 0.0000 0.1950
O 0.2096 0.5000 0.2114
O 0.3121 0.2971 0.6894
O 0.3121 0.7029 0.6894
O 0.6879 0.2971 0.3106
O 0.6879 0.7029 0.3106
O 0.7904 0.5000 0.7886
O 0.8060 0.0000 0.8050

Output
* ΔE_f (raw): -237.3 kJ per mole of atoms
* space group: No. 10

=====

Entry from Alexandria via LeMat-Bulk: a relaxed structure of Cs2As2O5 (PBE).

Cell lengths 6.3536, 6.3536, 7.2434 Å; angles 102.72, 102.72, 38.69 degrees
Sites, in units of the cell vectors:
Cs 0.1020 0.1020 0.3466
Cs 0.8980 0.8980 0.6534
As 0.3491 0.3491 0.0803
As 0.6509 0.6509 0.9197
O 0.1900 0.1900 0.9706
O 0.3689 0.3689 0.3220
O 0.5000 0.5000 0.0000
O 0.6311 0.6311 0.6780
O 0.8100 0.8100 0.0294

Output
* ΔE_f (raw): -126.5 kJ per mole of atoms
* space group: No. 12

=====

Entry from Alexandria via LeMat-Bulk: a relaxed structure of HfNbZnW2 (PBE).

Cell lengths 4.6019, 4.6019, 4.7202 Å; angles 90.00, 90.00, 90.00 degrees
Sites, in units of the cell vectors:
Hf 0.0000 0.0000 0.0000
Nb 0.5000 0.5000 0.0000
Zn 0.0000 0.0000 0.5000
W 0.0000 0.5000 0.5000
W 0.5000 0.0000 0.5000

Output
* calculated formation energy: 1.487 eV/atom
* space group: No. 123

=====

Entry from Alexandria via LeMat-Bulk: a relaxed structure of SnTeAu (PBE).

Cell lengths 4.2184, 4.2184, 5.1185 Å; angles 90.00, 90.00, 120.00 degrees
Sites, in units of the cell vectors:
Sn 0.0000 0.0000 0.0000
Te 0.6667 0.3333 0.5925
Au 0.3333 0.6667 0.2864

Output
* ΔE_f (raw): -16.9 kJ per mole of atoms
* space group: No. 156

=====

Entry from Alexandria via LeMat-Bulk: a relaxed structure of ZrCr4P (PBE).

Cell lengths 4.8588, 4.8588, 4.8588 Å; angles 60.00, 60.00, 60.00 degrees
Sites, in units of the cell vectors:
Zr 0.0000 0.0000 0.0000
Cr 0.1302 0.6233 0.6233
Cr 0.6233 0.1302 0.6233
Cr 0.6233 0.6233 0.1302
Cr 0.6233 0.6233 0.6233
P 0.2500 0.2500 0.2500

Output
* calculated formation energy: 0.116 eV/atom
* space group: No. 216

=====

Entry from Alexandria via LeMat-Bulk: a relaxed structure of SnMoPb3 (PBE).

Cell lengths 5.4327, 5.4327, 5.4327 Å; angles 90.00, 90.00, 90.00 degrees
Sites, in units of the cell vectors:
Sn 0.0000 0.0000 0.0000
Mo 0.5000 0.5000 0.5000
Pb 0.0000 0.5000 0.5000
Pb 0.5000 0.0000 0.5000
Pb 0.5000 0.5000 0.0000

Output
* calculated formation energy: 0.605 eV/atom
* excess energy over the best structure of this formula in the dataset: 0.0 meV/atom
* space group: No. 221

=====

Entry from Alexandria via LeMat-Bulk: a relaxed structure of Rb2NaTl12Cd3 (PBE).

Cell lengths 8.4812, 8.4812, 8.4812 Å; angles 85.41, 85.41, 85.41 degrees
Sites, in units of the cell vectors:
Rb 0.2360 0.2360 0.2360
Rb 0.7640 0.7640 0.7640
Na 0.5000 0.5000 0.5000
Tl 0.0802 0.0802 0.6449
Tl 0.0802 0.6449 0.0802
Tl 0.2065 0.6909 0.6909
Tl 0.3091 0.3091 0.7935
Tl 0.3091 0.7935 0.3091
Tl 0.3551 0.9198 0.9198
Tl 0.6449 0.0802 0.0802
Tl 0.6909 0.2065 0.6909
Tl 0.6909 0.6909 0.2065
Tl 0.7935 0.3091 0.3091
Tl 0.9198 0.3551 0.9198
Tl 0.9198 0.9198 0.3551
Cd 0.0000 0.5000 0.5000
Cd 0.5000 0.0000 0.5000
Cd 0.5000 0.5000 0.0000

Output
* calculated formation energy: 0.034 eV/atom
* space group: No. 166

=====

Entry from Alexandria via LeMat-Bulk: a relaxed structure of LaErCd2Au4 (PBE).

Cell lengths 8.7046, 8.7046, 8.7046 Å; angles 33.40, 33.40, 33.40 degrees
Sites, in units of the cell vectors:
La 0.0000 0.0000 0.0000
Er 0.5000 0.5000 0.5000
Cd 0.2498 0.2498 0.2498
Cd 0.7502 0.7502 0.7502
Au 0.1303 0.1303 0.1303
Au 0.3811 0.3811 0.3811
Au 0.6189 0.6189 0.6189
Au 0.8697 0.8697 0.8697

Output
* calculated formation energy: -0.664 eV/atom
* space group: No. 166

=====

Entry from Alexandria via LeMat-Bulk: a relaxed structure of Na3In2Bi4 (PBE).

Cell lengths 5.5727, 5.8568, 9.9339 Å; angles 92.79, 90.01, 118.36 degrees
Sites, in units of the cell vectors:
Na 0.0000 0.0000 0.0000
Na 0.4156 0.8266 0.7232
Na 0.5844 0.1734 0.2768
In 0.2577 0.5199 0.3636
In 0.7423 0.4801 0.6364
Bi 0.0803 0.1565 0.6385
Bi 0.3191 0.6381 0.0436
Bi 0.6809 0.3619 0.9564
Bi 0.9197 0.8435 0.3615

Output
* calculated formation energy: -0.142 eV/atom
* excess energy over the best structure of this formula in the dataset: 11.2 meV/atom
* space group: No. 2

=====

Entry from Alexandria via LeMat-Bulk: a relaxed structure of Sm8Tl3Te4 (PBE).

Cell lengths 8.8522, 8.8522, 8.7888 Å; angles 119.69, 119.69, 90.07 degrees
Sites, in units of the cell vectors:
Sm 0.2438 0.2438 0.9934
Sm 0.2453 0.2453 0.4893
Sm 0.2469 0.7531 0.0000
Sm 0.2511 0.7489 0.5000
Sm 0.7489 0.2511 0.5000
Sm 0.7531 0.2469 0.0000
Sm 0.7547 0.7547 0.5107
Sm 0.7562 0.7562 0.0066
Tl 0.0000 0.0000 0.5000
Tl 0.0000 0.5000 0.5000
Tl 0.5000 0.0000 0.5000
Te 0.0000 0.5000 0.0000
Te 0.5000 0.0000 0.0000
Te 0.5000 0.5000 0.0000
Te 0.5000 0.5000 0.5000

Output
* ΔE_f (raw): -79.4 kJ per mole of atoms
* space group: No. 12

=====

Entry from Alexandria via LeMat-Bulk: a relaxed structure of PaAl4Pd5 (PBE).

Cell lengths 3.1111, 3.1111, 16.2765 Å; angles 90.00, 90.00, 90.00 degrees
Sites, in units of the cell vectors:
Pa 0.0000 0.0000 0.0000
Al 0.0000 0.0000 0.2211
Al 0.0000 0.0000 0.4076
Al 0.0000 0.0000 0.5924
Al 0.0000 0.0000 0.7789
Pd 0.5000 0.5000 0.1324
Pd 0.5000 0.5000 0.3162
Pd 0.5000 0.5000 0.5000
Pd 0.5000 0.5000 0.6838
Pd 0.5000 0.5000 0.8676

Output
* calculated formation energy: -0.788 eV/atom
* space group: No. 123

=====

Entry from Alexandria via LeMat-Bulk: a relaxed structure of Zr2MnPd6 (PBE).

Cell lengths 7.8933, 7.8933, 3.0451 Å; angles 90.00, 90.00, 124.76 degrees
Sites, in units of the cell vectors:
Zr 0.1882 0.8118 0.0000
Zr 0.8118 0.1882 0.0000
Mn 0.5000 0.5000 0.5000
Pd 0.1537 0.4689 0.5000
Pd 0.1903 0.1903 0.0000
Pd 0.4689 0.1537 0.5000
Pd 0.5311 0.8463 0.5000
Pd 0.8097 0.8097 0.0000
Pd 0.8463 0.5311 0.5000

Output
* calculated formation energy: -0.406 eV/atom
* space group: No. 65

=====

Entry from Alexandria via LeMat-Bulk: a relaxed structure of TaHg2Rh (PBE).

Cell lengths 4.9333, 4.9333, 4.9333 Å; angles 127.79, 127.79, 76.97 degrees
Sites, in units of the cell vectors:
Ta 0.0000 0.0000 0.0000
Hg 0.2500 0.7500 0.5000
Hg 0.5000 0.5000 0.0000
Rh 0.7500 0.2500 0.5000

Output
* calculated formation energy: 0.279 eV/atom
* excess energy over the best structure of this formula in the dataset: 272.3 meV/atom
* space group: No. 119

=====

Entry from Alexandria via LeMat-Bulk: a relaxed structure of MgTiAg2 (PBE).

Cell lengths 4.8406, 4.8406, 3.0621 Å; angles 90.00, 90.00, 90.00 degrees
Sites, in units of the cell vectors:
Mg 0.0000 0.0000 0.0000
Ti 0.5000 0.5000 0.0000
Ag 0.0000 0.5000 0.5000
Ag 0.5000 0.0000 0.5000

Output
* calculated formation energy: 0.007 eV/atom
* space group: No. 123

=====

Entry from Alexandria via LeMat-Bulk: a relaxed structure of CaPmSm2S4 (PBE).

Cell lengths 6.9635, 3.9981, 6.9719 Å; angles 90.00, 109.13, 90.00 degrees
Sites, in units of the cell vectors:
Ca 0.0000 0.0000 0.0000
Pm 0.0000 0.5000 0.5000
Sm 0.5000 0.0000 0.5000
Sm 0.5000 0.5000 0.0000
S 0.2484 0.5000 0.2469
S 0.2493 0.0000 0.7537
S 0.7507 0.0000 0.2463
S 0.7516 0.5000 0.7531

Output
* ΔE_f (raw): -197.1 kJ per mole of atoms
* space group: No. 10

=====

Entry from Alexandria via LeMat-Bulk: a relaxed structure of MgRuW (PBE).

Cell lengths 7.2054, 7.0043, 2.7602 Å; angles 82.93, 74.73, 22.34 degrees
Sites, in units of the cell vectors:
Mg 0.0000 0.0000 0.0000
Ru 0.3342 0.3342 0.6658
W 0.6809 0.6809 0.3191

Output
* calculated formation energy: 0.255 eV/atom
* excess energy over the best structure of this formula in the dataset: 173.3 meV/atom
* space group: No. 42

=====

Entry from Alexandria via LeMat-Bulk: a relaxed structure of Hf2Ag2Sb (PBE).

Cell lengths 7.3947, 7.3947, 4.1180 Å; angles 90.00, 90.00, 90.00 degrees
Sites, in units of the cell vectors:
Hf 0.1528 0.3472 0.0000
Hf 0.3472 0.8472 0.0000
Hf 0.6528 0.1528 0.0000
Hf 0.8472 0.6528 0.0000
Ag 0.1380 0.6380 0.5000
Ag 0.3620 0.1380 0.5000
Ag 0.6380 0.8620 0.5000
Ag 0.8620 0.3620 0.5000
Sb 0.0000 0.0000 0.0000
Sb 0.5000 0.5000 0.0000

Output
* ΔE_f (raw): 9.9 kJ per mole of atoms
* excess energy over the best structure of this formula in the dataset: 26.0 meV/atom
* space group: No. 127

=====

Entry from Alexandria via LeMat-Bulk: a relaxed structure of PmPd2Au2 (PBE).

Cell lengths 5.3634, 4.4431, 9.0113 Å; angles 90.00, 103.74, 90.00 degrees
Sites, in units of the cell vectors:
Pm 0.1436 0.2500 0.2709
Pm 0.8564 0.7500 0.7291
Pd 0.1095 0.2500 0.9333
Pd 0.3374 0.7500 0.4936
Pd 0.6626 0.2500 0.5064
Pd 0.8905 0.7500 0.0667
Au 0.2253 0.2500 0.6451
Au 0.3950 0.7500 0.0781
Au 0.6050 0.2500 0.9219
Au 0.7747 0.7500 0.3549

Output
* calculated formation energy: -0.528 eV/atom
* excess energy over the best structure of this formula in the dataset: 0.0 meV/atom
* space group: No. 11